Computed, not measured: V2Mo after structural relaxation at the PBE level of DFT.

Results
As for the total magnetization: 0.0 Bohr magnetons per cell. Its symmetry is C2/m, No. 12. For the formation energy, the calculation gives -9 kJ per mole of atoms.

abc: 3.053 3.053 5.024
angles: 107.18 107.18 89.31
Positions (direct):
1 Mo 0.500 0.500 0.000
2 V 0.833 0.833 0.667
3 V 0.167 0.167 0.333

Computed, not measured: MgBe2Ag after structural relaxation at the PBE level of DFT.

Results
As for the total magnetization: 0.0 Bohr magnetons per cell. Its symmetry is P4mm, No. 99. For the formation energy, the calculation gives 15 kJ per mole of atoms.

abc: 2.907 2.907 6.325
angles: 90.00 90.00 90.00
Positions (direct):
1 Ag 0.500 0.500 0.795
2 Be 0.000 0.000 0.042
3 Be 0.500 0.500 0.192
4 Mg 0.000 0.000 0.471

Computed, not measured: Ti4VGe2 after structural relaxation at the PBE level of DFT.

Results
As for the total magnetization: 1.0 Bohr magnetons per cell. Its symmetry is R-3m, No. 166. For the formation energy, the calculation gives -14 kJ per mole of atoms.

abc: 4.451 4.451 7.643
angles: 73.07 73.07 60.00
Last column: magnetic moment on the atom in μB.
Positions (direct):
1 Ti 0.736 0.736 0.793  -0.06
2 Ti 0.130 0.130 0.610  0.07
3 Ti 0.870 0.870 0.390  0.07
4 Ge 0.614 0.614 0.158  -0.01
5 V 0.500 0.500 0.500  0.90
6 Ti 0.264 0.264 0.207  -0.06
7 Ge 0.386 0.386 0.842  -0.01

Computed, not measured: AcTlBi after structural relaxation at the PBE level of DFT.

Results
As for the total magnetization: 0.0 Bohr magnetons per cell. Its symmetry is P3m1, No. 156. For the formation energy, the calculation gives -42 kJ per mole of atoms.

abc: 4.353 5.304 5.304
angles: 120.00 90.00 90.00
Positions (direct):
1 Bi 0.918 0.000 0.000
2 Tl 0.728 0.333 0.667
3 Ac 0.354 0.667 0.333